Entry 1:
# Th2CuPt9

A relaxed Th2CuPt9 crystal (PBE, Alexandria).

Computed properties:
* volume: 213 Å³ per cell
* size of the total moment: 0.00 μB/f.u.
* formation energy: -758 meV/atom
* total DFT energy (no corrections): -82.400 eV/f.u.

Cell and atoms, written as POSCAR:
```
Th2CuPt9
1.0
-0.8246 -1.1168 -3.9577
3.6119 -2.1264 -0.1525
-5.6648 -9.9072 3.9759
Th Pt Cu
2 9 1
Cartesian
-1.8130 -3.1708 1.2725 Th
-3.8518 -6.7365 2.7035 Th
-2.4282 -8.3057 0.6273 Pt
-0.4493 -4.8448 -0.7616 Pt
0.9665 -2.5314 0.5130 Pt
1.3936 -1.6216 -2.0551 Pt
-3.0194 -9.5023 3.3105 Pt
-1.2518 -2.0266 -1.3896 Pt
-5.2376 -8.9975 1.4079 Pt
-1.0265 -6.0168 1.9117 Pt
-3.2447 -5.5120 0.0091 Pt
0.0000 0.0000 0.0000 Cu
```

---

Entry 2:
# ThCuPt2

A relaxed ThCuPt2 crystal (PBE, Alexandria).

Computed properties:
* volume: 79 Å³ per cell
* size of the total moment: 0.00 μB/f.u.
* formation energy: -867 meV/atom
* total DFT energy (no corrections): -27.067 eV/f.u.

Cell and atoms, written as POSCAR:
```
ThCuPt2
1.0
-3.6857 -2.2783 0.5684
0.1906 -4.2431 1.0283
-1.1451 -1.0461 5.1819
Cu Pt Th
1 2 1
Cartesian
-2.3201 -3.7838 3.3893 Cu
-3.4821 -5.7888 4.6173 Pt
-1.1580 -1.7787 2.1614 Pt
0.0000 0.0000 0.0000 Th
```

---

Entry 3:
# ThCu8Pt3

A relaxed ThCu8Pt3 crystal (PBE, Alexandria).

Computed properties:
* volume: 172 Å³ per cell
* size of the total moment: 0.00 μB/f.u.
* formation energy: -212 meV/atom
* total DFT energy (no corrections): -60.856 eV/f.u.

Cell and atoms, written as POSCAR:
```
ThCu8Pt3
1.0
-4.9131 0.7746 -0.0562
2.1622 -2.5243 -3.7006
-1.1261 -6.8511 4.0155
Pt Cu Th
3 8 1
Cartesian
-1.0555 -6.4215 3.7637 Pt
-2.6304 -0.7858 -1.0009 Pt
-3.0342 -3.2427 0.4391 Pt
-3.3201 -4.8690 3.0136 Cu
-4.6632 -5.7233 1.1795 Cu
0.7286 -3.6058 -2.1471 Cu
-0.3642 -2.3299 -0.2768 Cu
-2.2644 -6.1015 1.2069 Cu
-0.7567 -4.8348 -0.4871 Cu
-1.3206 -8.2654 1.5236 Cu
-1.7545 -3.2143 -2.1755 Cu
-0.6389 -3.8868 2.2781 Th
```

---

Entry 4:
# ThCu2Pt2

A relaxed ThCu2Pt2 crystal (PBE, Alexandria).

Computed properties:
* volume: 92 Å³ per cell
* size of the total moment: 0.00 μB/f.u.
* formation energy: -638 meV/atom
* total DFT energy (no corrections): -30.881 eV/f.u.

Cell and atoms, written as POSCAR:
```
ThCu2Pt2
1.0
3.8474 0.0000 0.0000
0.0000 3.8474 0.0000
-1.9237 -1.9237 6.2449
Pt Cu Th
2 2 1
Cartesian
0.0000 0.0000 4.8774 Pt
1.9237 1.9237 1.3676 Pt
0.0000 1.9237 3.1225 Cu
1.9237 0.0000 3.1225 Cu
0.0000 0.0000 0.0000 Th
```

---

Entry 5:
# ThCuPt6

A relaxed ThCuPt6 crystal (PBE, Alexandria).

Computed properties:
* volume: 136 Å³ per cell
* size of the total moment: 0.00 μB/f.u.
* formation energy: -580 meV/atom
* total DFT energy (no corrections): -52.401 eV/f.u.

Cell and atoms, written as POSCAR:
```
ThCuPt6
1.0
4.1421 0.0000 0.0000
0.0000 4.1421 0.0000
0.0000 0.0000 7.9414
Cu Pt Th
1 6 1
Cartesian
0.0000 0.0000 3.9707 Cu
2.0711 0.0000 5.7829 Pt
2.0711 0.0000 2.1585 Pt
2.0711 2.0711 3.9707 Pt
0.0000 2.0711 5.7829 Pt
2.0711 2.0711 0.0000 Pt
0.0000 2.0711 2.1585 Pt
0.0000 0.0000 0.0000 Th
```

---

Entry 6:
# ThCu2Pt5

A relaxed ThCu2Pt5 crystal (PBE, Alexandria).

Computed properties:
* volume: 137 Å³ per cell
* size of the total moment: 0.00 μB/f.u.
* formation energy: -439 meV/atom
* total DFT energy (no corrections): -49.326 eV/f.u.

Cell and atoms, written as POSCAR:
```
ThCu2Pt5
1.0
-3.2395 0.9657 1.8744
-3.3545 -5.3295 0.9335
0.6473 -1.8497 6.0570
Cu Th Pt
2 1 5
Cartesian
-1.4926 -1.4618 2.1587 Cu
-4.4540 -4.7517 6.7062 Cu
0.0000 0.0000 0.0000 Th
-3.6652 -4.9592 4.1911 Pt
-3.8199 -2.5920 2.7041 Pt
-2.1268 -3.6215 6.1607 Pt
-1.3536 -3.5896 3.4952 Pt
-2.2815 -1.2542 4.6737 Pt
```

---

Entry 7:
# Th2Cu3Pt

A relaxed Th2Cu3Pt crystal (PBE, Alexandria).

Computed properties:
* volume: 242 Å³ per cell
* E above lowest polymorph: 0.0000 eV/atom
* size of the total moment: 0.00 μB/f.u.
* formation energy: -505 meV/atom
* total DFT energy (no corrections): -36.199 eV/f.u.

Cell and atoms, written as POSCAR:
```
Th2Cu3Pt
1.0
5.6459 0.7234 0.0000
0.3741 5.6798 0.0000
-3.0100 -3.2016 7.6079
Pt Cu Th
2 6 4
Cartesian
3.0100 3.2016 2.5335 Pt
0.0000 0.0000 5.0744 Pt
1.4602 1.5532 1.2335 Cu
1.5498 1.6484 6.3744 Cu
-1.5498 -1.6484 6.3744 Cu
3.0100 3.2016 5.1478 Cu
4.5598 4.8500 1.2335 Cu
0.0000 0.0000 2.4602 Cu
1.7044 4.4290 0.0000 Th
2.8230 0.3617 3.8040 Th
4.3156 1.9741 0.0000 Th
0.1870 2.8399 3.8040 Th
```

---

Entry 8:
# Th2CuPt

A relaxed Th2CuPt crystal (PBE, Alexandria).

Computed properties:
* volume: 94 Å³ per cell
* size of the total moment: 0.00 μB/f.u.
* formation energy: -541 meV/atom
* total DFT energy (no corrections): -27.140 eV/f.u.

Cell and atoms, written as POSCAR:
```
Th2CuPt
1.0
-0.0448 2.5746 2.6555
-1.8926 -3.3673 3.2328
4.6675 -1.3196 1.3581
Th Cu Pt
2 1 1
Cartesian
2.3338 -0.6598 0.6791 Th
-0.9463 -1.6836 1.6164 Th
-0.0224 1.2873 1.3277 Cu
1.3651 -1.0561 3.6232 Pt
```

---

Entry 9:
# Th2Cu3Pt

A relaxed Th2Cu3Pt crystal (PBE, Alexandria).

Computed properties:
* volume: 122 Å³ per cell
* E above lowest polymorph: 0.0105 eV/atom
* size of the total moment: 0.00 μB/f.u.
* formation energy: -495 meV/atom
* total DFT energy (no corrections): -36.136 eV/f.u.

Cell and atoms, written as POSCAR:
```
Th2Cu3Pt
1.0
-0.4829 -3.2107 -1.6993
-0.2341 -2.0064 3.8574
-7.5606 1.0821 0.1039
Cu Th Pt
3 2 1
Cartesian
-1.3907 -1.4409 -0.8339 Cu
-6.5269 -0.7058 -0.7632 Cu
-5.4934 -1.8736 1.1497 Cu
-3.7262 0.5333 0.0512 Th
-0.1634 -0.9966 1.9294 Th
-2.9180 -2.2422 1.1143 Pt
```

---

Entry 10:
# Th2CuPt

A relaxed Th2CuPt crystal (PBE, Alexandria).

Computed properties:
* volume: 128 Å³ per cell
* size of the total moment: 0.00 μB/f.u.
* formation energy: 69 meV/atom
* total DFT energy (no corrections): -24.701 eV/f.u.

Cell and atoms, written as POSCAR:
```
Th2CuPt
1.0
-1.1689 3.8550 0.4680
-3.6022 1.2125 -1.4142
-5.3989 -0.4235 7.5744
Pt Cu Th
1 1 2
Cartesian
-5.0850 2.3220 3.3141 Pt
0.0000 0.0000 0.0000 Cu
-5.9604 4.4077 1.5176 Th
-4.2096 0.2362 5.1107 Th
```

---

Entry 11:
# Th2Cu3Pt2

A relaxed Th2Cu3Pt2 crystal (PBE, Alexandria).

Computed properties:
* volume: 136 Å³ per cell
* size of the total moment: 0.00 μB/f.u.
* formation energy: -648 meV/atom
* total DFT energy (no corrections): -43.743 eV/f.u.

Cell and atoms, written as POSCAR:
```
Th2Cu3Pt2
1.0
-2.8562 3.4279 0.0742
-2.3985 -4.9062 0.1434
1.5053 1.1238 6.0272
Pt Th Cu
2 2 3
Cartesian
-2.8515 0.4256 4.7665 Pt
-0.8979 -0.7801 1.4783 Pt
-3.8415 -0.3304 1.5847 Th
0.0921 -0.0241 4.6601 Th
-2.1932 -1.9072 3.6846 Cu
-1.5561 1.5527 2.5601 Cu
-1.4281 1.7140 0.0371 Cu
```

---

Entry 12:
# Th2CuPt

A relaxed Th2CuPt crystal (PBE, Alexandria).

Computed properties:
* volume: 192 Å³ per cell
* size of the total moment: 0.00 μB/f.u.
* formation energy: -663 meV/atom
* total DFT energy (no corrections): -27.627 eV/f.u.

Cell and atoms, written as POSCAR:
```
Th2CuPt
1.0
-4.2655 -0.5407 1.0048
0.7515 -5.9305 -0.0013
1.3109 2.7900 7.0659
Th Cu Pt
4 2 2
Cartesian
0.2765 -3.2143 4.2947 Th
-0.3813 -4.5900 0.7622 Th
-1.8219 0.9088 7.3072 Th
-2.4797 -0.4669 3.7747 Th
-2.3322 -3.4583 2.7909 Cu
0.1291 -0.2229 5.2785 Cu
-1.6718 -2.0777 6.3374 Pt
-0.5314 -1.6035 1.7320 Pt
```